Model a:
VASP calculation (PBE) on Li4CaAl after structural relaxation.

abc: 5.5339 5.5339 5.5339
angles: 60.00 60.00 60.00
Closest atoms and distances in Å follow each position.
Sites, in units of the cell vectors:
Li 0.1226 0.1226 0.1226  6 Li 2.71-2.82
Li 0.1226 0.1226 0.6323  6 Li 2.71-2.82
Li 0.1226 0.6323 0.1226  6 Li 2.71-2.82
Li 0.6323 0.1226 0.1226  6 Li 2.71-2.82
Ca 0.5000 0.5000 0.5000  12 Li 3.25, 4 Al 3.39
Al 0.7500 0.7500 0.7500  12 Li 3.24, 4 Ca 3.39

Values from the calculation:
Its symmetry is F-43m, No. 216. The size of the total moment is 0.2 μB per cell. Its crystal system is cubic.

=====

Model b:
VASP calculation (PBE) on Li4CaAl after structural relaxation.

abc: 3.8301 3.8301 9.9798
angles: 90.00 90.00 90.00
Closest atoms and distances in Å follow each position.
Sites, in units of the cell vectors:
Li 0.0000 0.5000 0.2068  4 Li 2.71, 2 Al 2.82
Li 0.0000 0.5000 0.7932  4 Li 2.71, 2 Al 2.82
Li 0.5000 0.0000 0.2068  4 Li 2.71, 2 Al 2.82
Li 0.5000 0.0000 0.7932  4 Li 2.71, 2 Al 2.82
Ca 0.0000 0.0000 0.5000  8 Li 3.50, 4 Ca 3.83
Al 0.5000 0.5000 0.0000  8 Li 2.82

Values from the calculation:
Its symmetry is P4/mmm, No. 123. The size of the total moment is 0.0 μB per cell. Its crystal system is tetragonal.

=====

In terms of stability, model a leads; the second structure lies 0.232 eV/atom higher.

=====

Model a:
VASP calculation (PBE) on LiCa2Al2 after structural relaxation.

abc: 8.9809 8.9809 3.3753
angles: 90.00 90.00 90.00
Closest atoms and distances in Å follow each position.
Sites, in units of the cell vectors:
Li 0.0000 0.0000 0.0000  4 Ca 3.28, 2 Li 3.38
Li 0.5000 0.5000 0.0000  4 Ca 3.28, 2 Li 3.38
Ca 0.1862 0.3138 0.0000  6 Al 3.13-3.20, 2 Li 3.28, 2 Ca 3.38
Ca 0.3138 0.8138 0.0000  6 Al 3.13-3.20, 2 Li 3.28, 2 Ca 3.38
Ca 0.6862 0.1862 0.0000  6 Al 3.13-3.20, 2 Li 3.28, 2 Ca 3.38
Ca 0.8138 0.6862 0.0000  6 Al 3.13-3.20, 2 Li 3.28, 2 Ca 3.38
Al 0.1060 0.6060 0.5000  1 Al 2.69
Al 0.3940 0.1060 0.5000  1 Al 2.69
Al 0.6060 0.8940 0.5000  1 Al 2.69
Al 0.8940 0.3940 0.5000  1 Al 2.69

Values from the calculation:
Its symmetry is P4/mbm, No. 127. The size of the total moment is 0.0 μB per cell. Its crystal system is tetragonal.

=====

Model b:
VASP calculation (PBE) on LiCa2Al2 after structural relaxation.

abc: 7.5419 7.5419 7.5419
angles: 143.21 143.21 53.02
Closest atoms and distances in Å follow each position.
Sites, in units of the cell vectors:
Li 0.0000 0.0000 0.0000  8 Al 3.59
Ca 0.2500 0.7500 0.5000  4 Al 3.19, 4 Ca 3.37
Ca 0.7500 0.2500 0.5000  4 Al 3.19, 4 Ca 3.37
Al 0.4071 0.4071 0.0000  1 Al 2.51
Al 0.5929 0.5929 0.0000  1 Al 2.51

Values from the calculation:
Its symmetry is I4/mmm, No. 139. The size of the total moment is 0.0 μB per cell. Its crystal system is tetragonal.

=====

In terms of stability, model a leads; the second structure lies 0.183 eV/atom higher.

=====

Model a:
VASP calculation (PBE) on Li3Ca4Al after structural relaxation.

abc: 3.9533 5.0394 12.2035
angles: 90.00 90.00 90.00
Closest atoms and distances in Å follow each position.
Sites, in units of the cell vectors:
Li 0.0000 0.0000 0.0000  2 Li 3.01
Li 0.0000 0.5000 0.1357  2 Li 3.01
Li 0.5000 0.0000 0.5101  2 Al 2.95, 2 Ca 3.15
Ca 0.0000 0.0000 0.7106  2 Li 3.15, 4 Al 3.33
Ca 0.0000 0.5000 0.4291  2 Al 3.21, 5 Li 3.35-3.58
Ca 0.5000 0.0000 0.2266  7 Li 3.39-3.46
Ca 0.5000 0.5000 0.9014  1 Al 3.24, 6 Li 3.42-3.48
Al 0.5000 0.5000 0.6360  2 Li 2.95, 3 Ca 3.21-3.24

Values from the calculation:
Its symmetry is Pmm2, No. 25. The size of the total moment is 0.0 μB per cell. Its crystal system is orthorhombic.

=====

Model b:
VASP calculation (PBE) on Li3Ca4Al after structural relaxation.

abc: 9.5437 9.5437 9.5437
angles: 33.26 33.26 33.26
Closest atoms and distances in Å follow each position.
Sites, in units of the cell vectors:
Li 0.0000 0.0000 0.0000  8 Ca 3.39-3.48
Li 0.2488 0.2488 0.2488  8 Ca 3.24-3.52
Li 0.7512 0.7512 0.7512  8 Ca 3.24-3.52
Ca 0.1288 0.1288 0.1288  5 Li 3.24-3.48, 3 Al 3.32
Ca 0.3790 0.3790 0.3790  1 Al 3.27, 7 Li 3.32-3.52
Ca 0.6210 0.6210 0.6210  1 Al 3.27, 7 Li 3.32-3.52
Ca 0.8712 0.8712 0.8712  5 Li 3.24-3.48, 3 Al 3.32
Al 0.5000 0.5000 0.5000  8 Ca 3.27-3.32

Values from the calculation:
Its symmetry is R-3m, No. 166. The size of the total moment is 0.0 μB per cell. Its crystal system is trigonal.

=====

In terms of stability, model b leads; the second structure lies 0.037 eV/atom higher.